{
  "formula": "Mg2TlHg2",
  "functional": "PBE",
  "state": "relaxed",
  "e_above_lowest_polymorph_mev_per_atom": 74,
  "formation_enthalpy_0k_ev_per_atom": -0.0478,
  "lattice": [[4.5844, 0.0000, 0.0000], [0.0000, 4.5844, 0.0000], [2.2922, 2.2922, 6.2822]],
  "species": ["Mg", "Mg", "Tl", "Hg", "Hg"],
  "frac_coords": [[0.7500, 0.2500, 0.5000], [0.2500, 0.7500, 0.5000], [0.0000, 0.0000, 0.0000], [0.3862, 0.3862, 0.2277], [0.6138, 0.6138, 0.7723]]
}

=====

{
  "formula": "In3Hg4I4",
  "functional": "PBE",
  "state": "relaxed",
  "e_form_raw_ev_per_fu": -2.638,
  "lattice": [[4.4308, -0.0153, -0.6286], [-0.0848, 4.2582, -0.6957], [-0.7083, 1.4234, 21.9337]],
  "species": ["In", "In", "In", "Hg", "Hg", "Hg", "Hg", "I", "I", "I", "I"],
  "frac_coords": [[0.6830, 0.6330, 0.2744], [0.4110, 0.3614, 0.7143], [0.6917, 0.9929, 0.9878], [0.4714, 0.0861, 0.1784], [0.7937, 0.2502, 0.4982], [0.2903, 0.7489, 0.4960], [0.5170, 0.9149, 0.8238], [0.9752, 0.5547, 0.1134], [0.1089, 0.4600, 0.9190], [0.8607, 0.8309, 0.6530], [0.1970, 0.1673, 0.3417]]
}

=====

{
  "formula": "V6TcMo5",
  "functional": "PBE",
  "state": "relaxed",
  "formation_enthalpy_0k_ev_per_atom": -0.1835,
  "lattice": [[-2.3089, -1.4702, 3.3568], [5.0340, -2.5991, 2.3242], [-0.0584, 7.5052, 0.4525]],
  "species": ["Mo", "Mo", "Mo", "Mo", "Mo", "Tc", "V", "V", "V", "V", "V", "V"],
  "frac_coords": [[0.6661, 0.1661, 0.3322], [0.3335, 0.3335, 0.6670], [0.0000, 0.5000, 0.0000], [0.6665, 0.6665, 0.3330], [0.3339, 0.8339, 0.6678], [0.0000, 0.0000, 0.0000], [0.8342, 0.5849, 0.6684], [0.8342, 0.0834, 0.6684], [0.5000, 0.7513, 0.0000], [0.5000, 0.2487, 0.0000], [0.1658, 0.9166, 0.3316], [0.1658, 0.4151, 0.3316]]
}

=====

{
  "formula": "TiGeSb2Mo",
  "functional": "PBE",
  "state": "relaxed",
  "e_form_raw_ev_per_fu": 3.389,
  "lattice": [[5.2102, 0.0000, 0.0000], [0.0000, 4.7311, 0.0000], [0.0000, 0.0000, 5.2102]],
  "species": ["Sb", "Sb", "Mo", "Ge", "Ti"],
  "frac_coords": [[0.0000, 0.0000, 0.5000], [0.5000, 0.0000, 0.0000], [0.0000, 0.0000, 0.0000], [0.5000, 0.5000, 0.5000], [0.0000, 0.5000, 0.0000]]
}

=====

{
  "formula": "Pm4Tl2In",
  "functional": "PBE",
  "state": "relaxed",
  "e_above_lowest_polymorph_mev_per_atom": 0,
  "formation_enthalpy_0k_ev_per_atom": -0.2834,
  "lattice": [[6.2438, -0.0403, -2.2218], [-3.1238, 5.4219, -2.1836], [-0.0232, 0.0403, 6.6273]],
  "species": ["Tl", "Tl", "In", "Pm", "Pm", "Pm", "Pm"],
  "frac_coords": [[0.5000, 0.5000, 0.0000], [0.5000, 0.0000, 0.5000], [0.0000, 0.0000, 0.0000], [0.5000, 0.0000, 0.0000], [0.5000, 0.5000, 0.5000], [0.0000, 0.0000, 0.5000], [0.0000, 0.5000, 0.0000]]
}

=====

{
  "formula": "Ba2AcPbSe5",
  "functional": "PBE",
  "state": "relaxed",
  "e_form_raw_ev_per_fu": -13.950,
  "lattice": [[4.5926, 0.0000, 0.0000], [-2.2963, 9.6269, 0.0000], [0.0000, 0.0000, 13.5874]],
  "species": ["Ba", "Ba", "Ba", "Ba", "Ac", "Ac", "Pb", "Pb", "Se", "Se", "Se", "Se", "Se", "Se", "Se", "Se", "Se", "Se"],
  "frac_coords": [[0.8655, 0.7310, 0.8084], [0.1123, 0.2246, 0.6858], [0.1345, 0.2690, 0.3084], [0.8877, 0.7754, 0.1858], [0.7888, 0.5776, 0.5130], [0.2112, 0.4224, 0.0130], [0.5308, 0.0615, 0.9549], [0.4692, 0.9385, 0.4549], [0.3689, 0.7378, 0.9982], [0.6776, 0.3551, 0.8640], [0.4904, 0.9808, 0.7589], [0.2849, 0.5698, 0.6656], [0.9505, 0.9009, 0.5751], [0.6311, 0.2622, 0.4982], [0.3224, 0.6449, 0.3640], [0.5096, 0.0192, 0.2589], [0.7151, 0.4302, 0.1656], [0.0495, 0.0991, 0.0751]]
}

=====

{
  "formula": "Tm2BeCd",
  "functional": "PBE",
  "state": "relaxed",
  "e_above_lowest_polymorph_mev_per_atom": 76,
  "formation_enthalpy_0k_ev_per_atom": -0.0514,
  "lattice": [[5.0227, 0.0000, 0.0000], [2.5114, 4.3498, 0.0000], [2.5114, 1.4499, 4.1010]],
  "species": ["Be", "Tm", "Tm", "Cd"],
  "frac_coords": [[0.0000, 0.0000, 0.0000], [0.2500, 0.2500, 0.2500], [0.7500, 0.7500, 0.7500], [0.5000, 0.5000, 0.5000]]
}

=====

{
  "formula": "Pr4Pt6O19",
  "functional": "PBE",
  "state": "relaxed",
  "e_form_raw_ev_per_fu": -43.850,
  "lattice": [[7.4284, 0.0000, -2.6263], [-3.7142, 6.4332, -2.6263], [0.0000, 0.0000, 7.8790]],
  "species": ["Pr", "Pr", "Pr", "Pr", "Pt", "Pt", "Pt", "Pt", "Pt", "Pt", "O", "O", "O", "O", "O", "O", "O", "O", "O", "O", "O", "O", "O", "O", "O", "O", "O", "O", "O"],
  "frac_coords": [[0.0000, 0.0000, 0.6825], [0.0000, 0.6825, 0.0000], [0.3175, 0.3175, 0.3175], [0.6825, 0.0000, 0.0000], [0.3406, 0.5000, 0.8406], [0.6594, 0.5000, 0.1594], [0.1594, 0.6594, 0.5000], [0.8406, 0.3406, 0.5000], [0.5000, 0.8406, 0.3406], [0.5000, 0.1594, 0.6594], [0.6618, 0.0000, 0.6618], [0.3382, 0.0000, 0.3382], [0.3382, 0.3382, 0.0000], [0.6618, 0.6618, 0.0000], [0.0000, 0.6618, 0.6618], [0.0000, 0.3382, 0.3382], [0.0000, 0.0000, 0.0000], [0.2881, 0.2495, 0.6077], [0.7119, 0.3196, 0.9614], [0.6418, 0.6804, 0.3923], [0.9614, 0.7119, 0.3196], [0.3582, 0.7505, 0.0386], [0.6077, 0.2881, 0.2495], [0.0386, 0.3582, 0.7505], [0.3923, 0.6418, 0.6804], [0.7505, 0.0386, 0.3582], [0.3196, 0.9614, 0.7119], [0.2495, 0.6077, 0.2881], [0.6804, 0.3923, 0.6418]]
}

=====

{
  "formula": "KCuI2",
  "functional": "PBE",
  "state": "relaxed",
  "e_above_lowest_polymorph_mev_per_atom": 0,
  "e_form_raw_ev_per_fu": -3.187,
  "lattice": [[4.3945, 0.0000, 0.0000], [0.0000, 10.4990, 0.0000], [0.0000, 0.0000, 13.2262]],
  "species": ["K", "K", "K", "K", "Cu", "Cu", "Cu", "Cu", "I", "I", "I", "I", "I", "I", "I", "I"],
  "frac_coords": [[0.7500, 0.7481, 0.6943], [0.2500, 0.7519, 0.1943], [0.2500, 0.2519, 0.3057], [0.7500, 0.2481, 0.8057], [0.7500, 0.9632, 0.4391], [0.2500, 0.5368, 0.9391], [0.2500, 0.0368, 0.5609], [0.7500, 0.4632, 0.0609], [0.7500, 0.1872, 0.5281], [0.2500, 0.3128, 0.0281], [0.2500, 0.8128, 0.4719], [0.7500, 0.6872, 0.9719], [0.7500, 0.5049, 0.2593], [0.2500, 0.9951, 0.7593], [0.2500, 0.4951, 0.7407], [0.7500, 0.0049, 0.2407]]
}

=====

{
  "formula": "BeTlCu2Si",
  "functional": "PBE",
  "state": "relaxed",
  "e_form_raw_ev_per_fu": 4.341,
  "lattice": [[-0.9504, 3.6332, 2.3019], [1.1890, -2.6484, 4.6710], [4.1943, 1.3048, -0.3278]],
  "species": ["Be", "Tl", "Si", "Cu", "Cu"],
  "frac_coords": [[0.5000, 0.5000, 0.5000], [0.0000, 0.5000, 0.0000], [0.0000, 0.0000, 0.0000], [0.0000, 0.0000, 0.5000], [0.5000, 0.0000, 0.0000]]
}

=====

{
  "formula": "Al3IO",
  "functional": "PBE",
  "state": "relaxed",
  "e_above_lowest_polymorph_mev_per_atom": 0,
  "e_form_raw_ev_per_fu": -0.018,
  "lattice": [[-1.5092, 3.6143, 2.4815], [-3.7192, -2.4450, 1.2993], [2.3213, -1.5676, 3.6950]],
  "species": ["I", "Al", "Al", "Al", "O"],
  "frac_coords": [[0.5000, 0.5000, 0.5000], [0.0000, 0.5000, 0.0000], [0.0000, 0.0000, 0.5000], [0.5000, 0.0000, 0.0000], [0.0000, 0.0000, 0.0000]]
}

=====

{
  "formula": "BaNb2I2",
  "functional": "PBE",
  "state": "relaxed",
  "e_above_lowest_polymorph_mev_per_atom": 0,
  "e_form_raw_ev_per_fu": 0.595,
  "lattice": [[-3.5670, -3.9128, 1.1519], [4.0503, -3.5784, 0.3874], [0.6847, -2.7175, 5.6336]],
  "species": ["I", "I", "Nb", "Nb", "Ba"],
  "frac_coords": [[0.7500, 0.2500, 0.5000], [0.2500, 0.7500, 0.5000], [0.3860, 0.3860, 0.2281], [0.6140, 0.6140, 0.7719], [0.0000, 0.0000, 0.0000]]
}

=====

{
  "formula": "La2InGe4Pt3",
  "functional": "PBE",
  "state": "relaxed",
  "formation_enthalpy_0k_ev_per_atom": -0.8614,
  "lattice": [[-4.3491, -0.5711, -0.2181], [0.3252, -0.8345, -4.2995], [1.2613, -10.4132, 2.1165]],
  "species": ["La", "La", "In", "Ge", "Ge", "Ge", "Ge", "Pt", "Pt", "Pt"],
  "frac_coords": [[0.5000, 0.0000, 0.2390], [0.0000, 0.5000, 0.7610], [0.5000, 0.5000, 0.5000], [0.5000, 0.5000, 0.0000], [0.0000, 0.0000, 0.0000], [0.5000, 0.0000, 0.6495], [0.0000, 0.5000, 0.3505], [0.0000, 0.0000, 0.5000], [0.5000, 0.0000, 0.8805], [0.0000, 0.5000, 0.1195]]
}

=====

{
  "formula": "Li2H2Au",
  "functional": "PBE",
  "state": "relaxed",
  "total_energy_ev_per_atom": -2.934,
  "lattice": [[-1.8663, 2.4625, -4.9654], [-5.5075, -1.4121, 1.3697], [-0.3228, 2.6530, 1.4370]],
  "species": ["H", "H", "H", "H", "Au", "Au", "Li", "Li", "Li", "Li"],
  "frac_coords": [[0.3231, 0.8231, 0.0000], [0.8231, 0.6769, 0.0000], [0.6769, 0.1769, 0.0000], [0.1769, 0.3231, 0.0000], [0.0000, 0.0000, 0.0000], [0.5000, 0.5000, 0.0000], [0.1688, 0.6688, 0.5000], [0.6688, 0.8312, 0.5000], [0.8312, 0.3312, 0.5000], [0.3312, 0.1688, 0.5000]]
}

=====

{
  "formula": "Be17TcAg",
  "functional": "PBE",
  "state": "relaxed",
  "formation_enthalpy_0k_ev_per_atom": -0.0715,
  "lattice": [[5.4982, 0.0385, 0.6917], [0.6149, 5.4639, 0.6917], [0.0427, 0.0385, 5.5414]],
  "species": ["Be", "Be", "Be", "Be", "Be", "Be", "Be", "Be", "Be", "Be", "Be", "Be", "Be", "Be", "Be", "Be", "Be", "Tc", "Ag"],
  "frac_coords": [[0.3022, 0.0036, 0.6971], [0.6971, 0.3022, 0.0036], [0.0036, 0.6971, 0.3022], [0.3022, 0.6971, 0.0036], [0.0036, 0.3022, 0.6971], [0.6971, 0.0036, 0.3022], [0.3424, 0.8481, 0.3424], [0.3424, 0.3424, 0.8481], [0.8481, 0.3424, 0.3424], [0.6506, 0.1652, 0.6506], [0.6506, 0.6506, 0.1652], [0.1652, 0.6506, 0.6506], [0.0103, 0.4963, 0.0103], [0.0103, 0.0103, 0.4963], [0.4963, 0.0103, 0.0103], [0.9034, 0.9034, 0.9034], [0.1023, 0.1023, 0.1023], [0.3283, 0.3283, 0.3283], [0.6440, 0.6440, 0.6440]]
}

=====

{
  "formula": "Re3Os4",
  "functional": "PBE",
  "state": "relaxed",
  "e_above_lowest_polymorph_mev_per_atom": 336,
  "formation_enthalpy_0k_ev_per_atom": 0.4107,
  "lattice": [[-5.0936, 3.2319, 3.8622], [-6.7454, -0.4671, 2.3637], [-4.1502, -0.5028, 5.8163]],
  "species": ["Re", "Re", "Re", "Os", "Os", "Os", "Os"],
  "frac_coords": [[0.0998, 0.0998, 0.0998], [0.5000, 0.5000, 0.5000], [0.9002, 0.9002, 0.9002], [0.6320, 0.6320, 0.6320], [0.3680, 0.3680, 0.3680], [0.7664, 0.7664, 0.7664], [0.2336, 0.2336, 0.2336]]
}

=====

{
  "formula": "SrDy3Cd4",
  "functional": "PBE",
  "state": "relaxed",
  "formation_enthalpy_0k_ev_per_atom": -0.2930,
  "lattice": [[-2.9051, -3.0990, -3.2901], [0.5017, -5.7816, 5.0028], [-9.0104, 3.3621, 4.7890]],
  "species": ["Sr", "Sr", "Cd", "Cd", "Cd", "Cd", "Cd", "Cd", "Cd", "Cd", "Dy", "Dy", "Dy", "Dy", "Dy", "Dy"],
  "frac_coords": [[0.0000, 0.5000, 0.0000], [0.0000, 0.5000, 0.5000], [0.5000, 0.7646, 0.0000], [0.5000, 0.7646, 0.5000], [0.5000, 0.2354, 0.0000], [0.5000, 0.2354, 0.5000], [0.0003, 0.7646, 0.7500], [0.9997, 0.7646, 0.2500], [0.9997, 0.2354, 0.2500], [0.0003, 0.2354, 0.7500], [0.0000, 0.0000, 0.0000], [0.0000, 0.0000, 0.5000], [0.5003, 0.0000, 0.7500], [0.4997, 0.0000, 0.2500], [0.5002, 0.5000, 0.7500], [0.4998, 0.5000, 0.2500]]
}

=====

{
  "formula": "Y3CoSi",
  "functional": "PBE",
  "state": "relaxed",
  "e_above_lowest_polymorph_mev_per_atom": 0,
  "e_form_raw_ev_per_fu": -0.237,
  "lattice": [[-3.8802, -3.0092, 1.1921], [2.7342, -4.0433, -1.3068], [1.7321, -0.3584, 4.7332]],
  "species": ["Y", "Y", "Y", "Si", "Co"],
  "frac_coords": [[0.0000, 0.5000, 0.0000], [0.0000, 0.0000, 0.5000], [0.5000, 0.0000, 0.0000], [0.5000, 0.5000, 0.5000], [0.0000, 0.0000, 0.0000]]
}

=====

{
  "formula": "InOs2Se",
  "functional": "PBE",
  "state": "relaxed",
  "e_above_lowest_polymorph_mev_per_atom": 496,
  "e_form_raw_ev_per_fu": 3.268,
  "lattice": [[-2.7335, -1.7694, -2.5534], [2.3005, -0.7979, -1.9099], [1.3621, -4.8836, 1.9260]],
  "species": ["In", "Os", "Os", "Se"],
  "frac_coords": [[0.5000, 0.7500, 0.7500], [0.0000, 0.1270, 0.0158], [0.0000, 0.3730, 0.4842], [0.5000, 0.2500, 0.2500]]
}

=====

{
  "formula": "La2Al2Se",
  "functional": "PBE",
  "state": "relaxed",
  "e_above_lowest_polymorph_mev_per_atom": 132,
  "e_form_raw_ev_per_fu": -2.873,
  "lattice": [[8.0930, 0.0000, 0.0000], [0.0000, 8.0930, 0.0000], [0.0000, 0.0000, 4.6959]],
  "species": ["Al", "Al", "Al", "Al", "Se", "Se", "La", "La", "La", "La"],
  "frac_coords": [[0.1134, 0.6134, 0.5000], [0.6134, 0.8866, 0.5000], [0.8866, 0.3866, 0.5000], [0.3866, 0.1134, 0.5000], [0.0000, 0.0000, 0.0000], [0.5000, 0.5000, 0.0000], [0.3212, 0.8212, 0.0000], [0.8212, 0.6788, 0.0000], [0.6788, 0.1788, 0.0000], [0.1788, 0.3212, 0.0000]]
}

=====

{
  "formula": "BaSr4Re",
  "functional": "PBE",
  "state": "relaxed",
  "formation_enthalpy_0k_ev_per_atom": 1.1572,
  "lattice": [[-4.0944, -1.9839, 5.8444], [-4.4410, 4.9492, 3.2619], [-7.3509, -0.6154, -0.6655]],
  "species": ["Ba", "Sr", "Sr", "Sr", "Sr", "Re"],
  "frac_coords": [[0.7500, 0.7500, 0.7500], [0.8788, 0.3737, 0.3737], [0.3737, 0.3737, 0.8788], [0.3737, 0.8788, 0.3737], [0.3737, 0.3737, 0.3737], [0.0000, 0.0000, 0.0000]]
}

=====

{
  "formula": "AsRhCl2",
  "functional": "PBE",
  "state": "relaxed",
  "e_above_lowest_polymorph_mev_per_atom": 953,
  "e_form_raw_ev_per_fu": 1.414,
  "lattice": [[4.6014, 0.0229, -0.0003], [-0.0224, 4.6007, -0.0003], [-2.2897, -2.3120, 3.2535]],
  "species": ["As", "Rh", "Cl", "Cl"],
  "frac_coords": [[0.7500, 0.2501, 0.5001], [0.5000, 0.4999, 0.9999], [0.0000, 0.9999, 0.9999], [0.2500, 0.7500, 0.5000]]
}